1.
Below is a relaxed Nd5DyMg4 crystal, with properties calculated at the GGA-PBE level.

The structure in POSCAR format:
```
Nd5DyMg4
1.0
-2.211 -2.206 -2.219
2.316 0.673 -2.977
11.315 -16.459 5.084
Nd Dy Mg
5 1 4
direct
0.500 0.500 0.116
0.500 0.500 0.309
0.500 0.500 0.500
0.500 0.500 0.691
0.500 0.500 0.884
0.000 0.000 0.000
0.000 0.000 0.212
0.000 0.000 0.404
0.000 0.000 0.596
0.000 0.000 0.788
```

Results
The calculation puts the density of states at the Fermi level at 10.85 states/eV per cell. The symmetry is P4/mmm, No. 123.

=====

2.
Below is a relaxed Nd2DyMg crystal, with properties calculated at the GGA-PBE level.

The structure in POSCAR format:
```
Nd2DyMg
1.0
-4.001 2.084 -3.340
-4.551 -3.067 -1.178
-4.984 1.433 2.148
Mg Nd Dy
1 2 1
direct
0.500 0.500 0.500
0.250 0.250 0.250
0.750 0.750 0.750
0.000 0.000 0.000
```

Results
The value obtained for the energy above the lowest structure with this stoichiometry is 55.0 meV per atom. The calculation puts the density of states at the Fermi level at 4.85 states/eV per cell. The symmetry is Fm-3m, No. 225.

=====

Number 1: DFT formation energy -76.7 meV per atom. Number 2: DFT formation energy 23.1 meV per atom.